DFT (GGA-PBE) results for an optimized crystal structure of Ni3Mo2.

Cell: 4.0522 4.0522 5.1687 Å, 90.00 90.00 120.00°
Space group P-3m1 (No. 164)
Asymmetric unit:
Ni: 0.0000 0.0000 0.0000 [1 per cell]
Ni: 0.3333 0.6667 0.3695 [2 per cell]
Mo: 0.3333 0.6667 0.8465 [2 per cell]

Summary:
DFT total energy in eV per atom: -7.294
Total magnetization in μB per atom: 0.0001
Distance to the lowest polymorph of the same formula in kcal/mol of atoms: 9.66
Energy of formation from the pure elements in eV per atom: 0.51

DFT (GGA-PBE) results for an optimized crystal structure of NiMo2.

Cell: 5.973 5.973 4.798 Å, 90.00 90.00 90.00°
Space group I4/mcm (No. 140)
Asymmetric unit:
Ni: 0.000 0.000 0.250 [4 per cell]
Mo: 0.152 0.348 0.000 [8 per cell]

Summary:
DFT total energy in eV per atom: -9.087
Total magnetization in μB per atom: 0.0000
Distance to the lowest polymorph of the same formula in kcal/mol of atoms: 0.46
Energy of formation from the pure elements in eV per atom: 0.06

DFT (GGA-PBE) results for an optimized crystal structure of Ni2Mo.

Cell: 6.657 6.657 6.657 Å, 90.00 90.00 90.00°
Space group Fd-3m (No. 227, origin choice 2)
Asymmetric unit:
Ni: 0.000 0.000 0.000 [16 per cell]
Mo: 0.125 0.125 0.625 [8 per cell]

Summary:
DFT total energy in eV per atom: -7.475
Total magnetization in μB per atom: 0.0006
Distance to the lowest polymorph of the same formula in kcal/mol of atoms: 1.83
Energy of formation from the pure elements in eV per atom: -0.01

DFT (GGA-PBE) results for an optimized crystal structure of NiMo.

Cell: 7.386 7.386 7.386 Å, 90.00 90.00 90.00°
Space group I-43m (No. 217)
Asymmetric unit:
Ni: 0.188 0.188 0.188 [8 per cell]
Mo: 0.129 0.129 0.871 [8 per cell]

Summary:
DFT total energy in eV per atom: -6.736
Total magnetization in μB per atom: 0.0000
Energy of formation from the pure elements in eV per atom: 1.57

DFT (GGA-PBE) results for an optimized crystal structure of Ni2Mo3.

Cell: 4.1158 4.1158 5.1248 Å, 90.00 90.00 120.00°
Space group P-3m1 (No. 164)
Asymmetric unit:
Ni: 0.3333 0.6667 0.3839 [2 per cell]
Mo: 0.0000 0.0000 0.5000 [1 per cell]
Mo: 0.3333 0.6667 0.8812 [2 per cell]

Summary:
DFT total energy in eV per atom: -8.340
Total magnetization in μB per atom: 0.0000
Distance to the lowest polymorph of the same formula in kcal/mol of atoms: 8.36
Energy of formation from the pure elements in eV per atom: 0.47

DFT (GGA-PBE) results for an optimized crystal structure of NiMo.

Cell: 3.142 3.142 5.461 Å, 90.00 90.00 90.00°
Space group P4/nmm (No. 129, origin choice 2)
Asymmetric unit:
Ni: 0.250 0.250 0.113 [2 per cell]
Mo: 0.250 0.250 0.641 [2 per cell]

Summary:
DFT total energy in eV per atom: -8.237
Total magnetization in μB per atom: 0.0002
Energy of formation from the pure elements in eV per atom: 0.07

DFT (GGA-PBE) results for an optimized crystal structure of NiMo.

Cell: 4.874 4.874 4.901 Å, 90.00 90.00 90.00°
Space group P4_2/mnm (No. 136)
Asymmetric unit:
Ni: 0.176 0.176 0.000 [4 per cell]
Mo: 0.180 0.180 0.500 [4 per cell]

Summary:
DFT total energy in eV per atom: -7.667
Total magnetization in μB per atom: 0.0000
Energy of formation from the pure elements in eV per atom: 0.64

DFT (GGA-PBE) results for an optimized crystal structure of Ni5Mo.

Cell: 9.407 2.590 5.975 Å, 90.00 105.29 90.00°
Space group Cm (No. 8)
Asymmetric unit:
Ni: 0.000 0.000 0.000 [2 per cell]
Ni: 0.052 0.000 0.613 [2 per cell]
Ni: 0.218 0.500 0.942 [2 per cell]
Ni: 0.335 0.000 0.677 [2 per cell]
Ni: 0.391 0.000 0.271 [2 per cell]
Mo: 0.170 0.500 0.340 [2 per cell]

Summary:
DFT total energy in eV per atom: -6.599
Total magnetization in μB per atom: 0.0001
Energy of formation from the pure elements in eV per atom: 0.02